No. 1
Entry from Alexandria: a geometry-optimized PmBeB4 structure (GGA-PBE).

Computed properties:
Volume ... 120.0 Å³/cell
SG ... Cmmm (65)
DFT total energy ... -74.5 eV per cell
D(E_F) ... 2.238 states/eV per cell

abc: 5.9747 5.9747 3.4695
angles: 90.00 90.00 104.25
Fractional positions:
Pm: 0.1984 0.8016 0.0000
Pm: 0.8016 0.1984 0.0000
Be: 0.3258 0.3258 0.0000
Be: 0.6742 0.6742 0.0000
B: 0.1233 0.4337 0.5000
B: 0.1275 0.1275 0.5000
B: 0.4113 0.5887 0.5000
B: 0.4337 0.1233 0.5000
B: 0.5663 0.8767 0.5000
B: 0.5887 0.4113 0.5000
B: 0.8725 0.8725 0.5000
B: 0.8767 0.5663 0.5000


No. 2
Entry from Alexandria: a geometry-optimized PmBeB structure (GGA-PBE).

Computed properties:
Volume ... 84.4 Å³/cell
SG ... Cmcm (63)
Energy above the most stable polymorph in this dataset ... 0.797 eV per formula unit
DFT total energy ... -29.1 eV per cell
D(E_F) ... 1.928 states/eV per cell

abc: 5.4980 5.4980 4.5320
angles: 90.00 90.00 141.97
Fractional positions:
Pm: 0.2015 0.7985 0.7500
Pm: 0.7985 0.2015 0.2500
Be: 0.5000 0.5000 0.0000
Be: 0.5000 0.5000 0.5000
B: 0.0568 0.9432 0.2500
B: 0.9432 0.0568 0.7500


No. 3
Entry from Alexandria: a geometry-optimized PmBe2B6 structure (GGA-PBE).

Computed properties:
Volume ... 80.4 Å³/cell
SG ... Immm (71)
DFT total energy ... -53.9 eV per cell
D(E_F) ... 2.211 states/eV per cell

abc: 5.3896 5.3896 5.3896
angles: 146.66 106.39 83.24
Fractional positions:
Pm: 0.0000 0.0000 0.0000
Be: 0.3459 0.8459 0.5000
Be: 0.6541 0.1541 0.5000
B: 0.0611 0.3002 0.7608
B: 0.3664 0.5000 0.8664
B: 0.4606 0.6998 0.7608
B: 0.5394 0.3002 0.2392
B: 0.6336 0.5000 0.1336
B: 0.9389 0.6998 0.2392